# 1
Below is crystalline AcZnNi2 at its relaxed geometry, with properties calculated at the PBE level.

Geometry as CIF:
```
data_AcZnNi2
_chemical_formula_sum 'Ac3 Zn3 Ni6'
_symmetry_space_group_name_H-M 'R -3 m'
_symmetry_Int_Tables_number 166
_symmetry_space_group_name_Hall '-R 3 2"'
_cell_length_a 4.2380
_cell_length_b 4.2380
_cell_length_c 15.0223
_cell_angle_alpha 90.00
_cell_angle_beta 90.00
_cell_angle_gamma 120.00
loop_
_atom_site_label
_atom_site_type_symbol
_atom_site_fract_x
_atom_site_fract_y
_atom_site_fract_z
Ac1 Ac 0.0000 0.0000 0.0000
Zn1 Zn 0.0000 0.0000 0.5000
Ni1 Ni 0.0000 0.0000 0.1956
```

Computed properties:
ΔE_f = -32.9 kJ per mole of atoms
Size of the total moment = 0.00 μB per cell
Volume = 233.7 Å³ per cell



# 2
Below is crystalline PrOF3 at its relaxed geometry, with properties calculated at the PBE level.

Geometry as CIF:
```
data_PrOF3
_chemical_formula_sum 'Pr4 O4 F12'
_symmetry_space_group_name_H-M 'P 1 21/c 1'
_symmetry_Int_Tables_number 14
_cell_length_a 8.1526
_cell_length_b 7.4906
_cell_length_c 9.2490
_cell_angle_alpha 90.00
_cell_angle_beta 124.44
_cell_angle_gamma 90.00
loop_
_symmetry_equiv_pos_as_xyz
'x,y,z'
'-x,-y,-z'
'-x,y+1/2,-z+1/2'
'x,-y+1/2,z+1/2'
loop_
_atom_site_label
_atom_site_type_symbol
_atom_site_fract_x
_atom_site_fract_y
_atom_site_fract_z
Pr1 Pr 0.0441 0.2500 0.0214
O1 O 0.4955 0.0820 0.4981
F1 F 0.0672 0.2492 0.2828
F2 F 0.1993 0.5296 0.1039
F3 F 0.1994 0.5297 0.5947
```

Computed properties:
Size of the total moment = 4.00 μB per cell
Volume = 465.8 Å³ per cell
Formation energy without anion corrections = -3.116 eV per atom



# 3
Below is crystalline RbCeS2Cl at its relaxed geometry, with properties calculated at the PBE level.

Geometry as CIF:
```
data_RbCeS2Cl
_chemical_formula_sum 'Rb2 Ce2 S4 Cl2'
_symmetry_space_group_name_H-M 'P 1 21/m 1'
_symmetry_Int_Tables_number 11
_cell_length_a 8.8709
_cell_length_b 4.1352
_cell_length_c 9.1922
_cell_angle_alpha 90.00
_cell_angle_beta 104.12
_cell_angle_gamma 90.00
loop_
_symmetry_equiv_pos_as_xyz
'x,y,z'
'-x,-y,-z'
'-x,y+1/2,-z'
'x,-y+1/2,z'
loop_
_atom_site_label
_atom_site_type_symbol
_atom_site_fract_x
_atom_site_fract_y
_atom_site_fract_z
Rb1 Rb 0.1858 0.2500 0.2588
Ce1 Ce 0.3275 0.7500 0.8401
S1 S 0.1423 0.2500 0.8645
S2 S 0.4600 0.7500 0.1464
Cl1 Cl 0.2640 0.7500 0.5423
```

Computed properties:
Size of the total moment = 0.00 μB per cell
Volume = 327.0 Å³ per cell
Formation energy without anion corrections = -1.781 eV per atom



# 4
Below is crystalline Li2CaI4 at its relaxed geometry, with properties calculated at the PBE level.

Geometry as CIF:
```
data_Li2CaI4
_chemical_formula_sum 'Li2 Ca1 I4'
_symmetry_space_group_name_H-M 'P -4 2 m'
_symmetry_Int_Tables_number 111
_cell_length_a 6.4900
_cell_length_b 6.4900
_cell_length_c 6.8975
_cell_angle_alpha 90.00
_cell_angle_beta 90.00
_cell_angle_gamma 90.00
loop_
_symmetry_equiv_pos_as_xyz
'x,y,z'
'y,-x,-z'
'-x,-y,z'
'-y,x,-z'
'x,-y,-z'
'y,x,z'
'-x,y,-z'
'-y,-x,z'
loop_
_atom_site_label
_atom_site_type_symbol
_atom_site_fract_x
_atom_site_fract_y
_atom_site_fract_z
Li1 Li 0.0000 0.5000 0.0000
Ca1 Ca 0.0000 0.0000 0.5000
I1 I 0.2609 0.2609 0.7670
```

Computed properties:
Relative energy among the computed polymorphs = 0.055 eV/atom
Size of the total moment = 0.00 μB per cell
Volume = 290.5 Å³ per cell
Formation energy without anion corrections = -1.311 eV per atom



- What is the formula in the fourth record?
  Li2CaI4